DFT (PBE) results for a relaxed LaMg3Ga2 crystal.

extended XYZ file:
```
12
Lattice="-2.286 4.247 7.256 2.286 -4.247 7.256 2.286 4.247 -7.256" Properties=species:S:1:pos:R:3 pbc="T T T"
La 0.000 0.000 1.928
La 0.000 0.000 12.584
Mg 2.286 2.633 -2.363
Mg 0.000 2.828 0.000
Mg 2.286 2.633 2.363
Mg 0.000 1.614 4.893
Mg 0.000 5.667 0.000
Mg 0.000 1.614 9.619
Ga 2.286 1.265 0.000
Ga 2.286 0.000 4.363
Ga 0.000 4.247 2.894
Ga 0.000 2.982 7.256
```

Output
The calculation puts the energy above the lowest structure with this stoichiometry at 0.0348 eV/atom. Its calculated density is 4.14 Mg/m³. Its density of states at the Fermi level is 2.62 states/eV per cell.

DFT (PBE) results for a relaxed Ba2LiMg6Tl crystal.

extended XYZ file:
```
10
Lattice="-3.794 3.809 5.378 3.794 -3.809 5.378 3.794 3.809 -5.378" Properties=species:S:1:pos:R:3 pbc="T T T"
Ba 0.000 0.000 2.689
Ba 0.000 0.000 8.067
Li 0.000 3.809 0.000
Mg 1.799 2.001 0.000
Mg 1.995 -1.807 5.378
Mg 3.794 0.000 2.828
Mg 0.000 3.809 2.550
Mg 1.799 5.616 0.000
Mg 1.995 1.807 5.378
Tl 3.794 0.000 0.000
```

Output
For the final energy, the calculation gives -1.730 eV/atom. Its calculated density is 3.38 Mg/m³. Its density of states at the Fermi level is 8.67 states/eV per cell.